*i*
Computed, not measured: a relaxed Sm3MgCd crystal at the PBE-GGA level of DFT.

Unit cell a=5.3431 b=20.5974 c=5.3368 alpha=90.00 beta=90.00 gamma=90.00
Space group Cmcm (No. 63)
One atom of each set of equivalent atoms:
Sm  0.0000  0.0591  0.2500
Sm  0.0000  0.2499  0.2500
Sm  0.0000  0.4385  0.2500
Mg  0.0000  0.1542  0.7500
Cd  0.0000  0.3436  0.7500

Properties
The value obtained for the density of states at the Fermi level is 1.2243 states/eV/atom. Its calculated density is 6.65 Mg/m³.

=====

*ii*
Computed, not measured: a relaxed Sm3MgCd crystal at the PBE-GGA level of DFT.

Unit cell a=13.1653 b=10.0337 c=9.3966 alpha=90.00 beta=90.05 gamma=90.00
Space group C2/c (No. 15)
One atom of each set of equivalent atoms:
Sm  0.1268  0.0002  0.0008
Sm  0.1329  0.3387  0.4376
Sm  0.1336  0.3397  0.0618
Mg  0.2195  0.3753  0.7496
Cd  0.0000  0.1702  0.7500
Cd  0.0000  0.4561  0.7500

Properties
The value obtained for the density of states at the Fermi level is 0.9059 states/eV/atom. Its calculated density is 6.29 Mg/m³.

=====

Most stable: *i*

=====

*i*
Computed, not measured: a relaxed Sm4MgCd3 crystal at the PBE-GGA level of DFT.

Unit cell a=3.8555 b=5.3725 c=10.7626 alpha=90.00 beta=90.00 gamma=90.00
Space group Pmmm (No. 47)
One atom of each set of equivalent atoms:
Sm  0.0000  0.0000  0.0000
Sm  0.0000  0.0000  0.5000
Sm  0.0000  0.5000  0.2476
Mg  0.5000  0.5000  0.5000
Cd  0.5000  0.0000  0.2554
Cd  0.5000  0.5000  0.0000

Properties
The value obtained for the density of states at the Fermi level is 1.2548 states/eV/atom. Its calculated density is 7.17 Mg/m³.

=====

*ii*
Computed, not measured: a relaxed Sm4MgCd3 crystal at the PBE-GGA level of DFT.

Unit cell a=3.5473 b=5.0050 c=12.6096 alpha=90.00 beta=90.00 gamma=90.00
Space group Pmm2 (No. 25)
One atom of each set of equivalent atoms:
Sm  0.0000  0.0000  0.0000
Sm  0.0000  0.5000  0.3237
Sm  0.5000  0.0000  0.4963
Sm  0.5000  0.5000  0.8286
Mg  0.0000  0.0000  0.7272
Cd  0.0000  0.5000  0.5946
Cd  0.5000  0.0000  0.2312
Cd  0.5000  0.5000  0.0939

Properties
The value obtained for the density of states at the Fermi level is 0.9977 states/eV/atom. Its calculated density is 7.14 Mg/m³.

=====

Most stable: *i*

=====

*i*
Computed, not measured: a relaxed SmMg2Cd9 crystal at the PBE-GGA level of DFT.

Unit cell a=9.9642 b=9.9642 c=3.2284 alpha=90.00 beta=90.00 gamma=120.00
Space group P6/mmm (No. 191)
One atom of each set of equivalent atoms:
Sm  0.0000  0.0000  0.0000
Mg  0.3333  0.6667  0.0000
Cd  0.0000  0.5000  0.0000
Cd  0.1757  0.3515  0.5000

Properties
The value obtained for the density of states at the Fermi level is 0.3628 states/eV/atom. Its calculated density is 7.24 Mg/m³.

=====

*ii*
Computed, not measured: a relaxed SmMg2Cd9 crystal at the PBE-GGA level of DFT.

Unit cell a=11.8801 b=11.8801 c=7.7498 alpha=90.00 beta=90.00 gamma=90.00
Space group I4_1/amd (No. 141, origin choice 2)
One atom of each set of equivalent atoms:
Sm  0.0000  0.2500  0.3750
Mg  0.0000  0.0000  0.0000
Cd  0.0000  0.2500  0.8750
Cd  0.1205  0.0477  0.6722

Properties
The value obtained for the density of states at the Fermi level is 0.2921 states/eV/atom. Its calculated density is 7.35 Mg/m³.

=====

Most stable: *ii*

=====

*i*
Computed, not measured: a relaxed SrSmMgCd crystal at the PBE-GGA level of DFT.

Unit cell a=3.9810 b=3.9810 c=7.9012 alpha=90.00 beta=90.00 gamma=90.00
Space group P4mm (No. 99)
One atom of each set of equivalent atoms:
Sr  0.0000  0.0000  0.0000
Sm  0.0000  0.0000  0.5138
Mg  0.5000  0.5000  0.2854
Cd  0.5000  0.5000  0.7268

Properties
The value obtained for the density of states at the Fermi level is 1.0211 states/eV/atom. Its calculated density is 4.97 Mg/m³.

=====

*ii*
Computed, not measured: a relaxed SrSmMgCd crystal at the PBE-GGA level of DFT.

Unit cell a=7.9109 b=7.9109 c=7.9109 alpha=90.00 beta=90.00 gamma=90.00
Space group F-43m (No. 216)
One atom of each set of equivalent atoms:
Sr  0.0000  0.0000  0.0000
Sm  0.0000  0.0000  0.5000
Mg  0.2500  0.2500  0.7500
Cd  0.2500  0.2500  0.2500

Properties
The value obtained for the density of states at the Fermi level is 0.8805 states/eV/atom. Its calculated density is 5.03 Mg/m³.

=====

Most stable: *i*

=====

*i*
Computed, not measured: a relaxed MgCdSn2 crystal at the PBE-GGA level of DFT.

Unit cell a=7.3776 b=7.3776 c=7.3776 alpha=90.00 beta=90.00 gamma=90.00
Space group Fm-3m (No. 225)
One atom of each set of equivalent atoms:
Mg  0.0000  0.0000  0.0000
Cd  0.0000  0.0000  0.5000
Sn  0.2500  0.2500  0.2500

Properties
The value obtained for the density of states at the Fermi level is 0.6717 states/eV/atom. Its calculated density is 6.19 Mg/m³.

=====

*ii*
Computed, not measured: a relaxed MgCdSn2 crystal at the PBE-GGA level of DFT.

Unit cell a=3.5987 b=3.5987 c=7.7415 alpha=90.00 beta=90.00 gamma=90.00
Space group P4/mmm (No. 123)
One atom of each set of equivalent atoms:
Mg  0.0000  0.0000  0.0000
Cd  0.0000  0.0000  0.5000
Sn  0.5000  0.5000  0.2428

Properties
The value obtained for the density of states at the Fermi level is 0.3215 states/eV/atom. Its calculated density is 6.20 Mg/m³.

=====

*iii*
Computed, not measured: a relaxed MgCdSn2 crystal at the PBE-GGA level of DFT.

Unit cell a=4.7042 b=4.7042 c=4.4648 alpha=90.00 beta=90.00 gamma=90.00
Space group P4/mmm (No. 123)
One atom of each set of equivalent atoms:
Mg  0.0000  0.0000  0.0000
Cd  0.5000  0.5000  0.0000
Sn  0.0000  0.5000  0.5000

Properties
The value obtained for the density of states at the Fermi level is 0.6098 states/eV/atom. Its calculated density is 6.29 Mg/m³.

=====

*iv*
Computed, not measured: a relaxed MgCdSn2 crystal at the PBE-GGA level of DFT.

Unit cell a=8.3117 b=8.3117 c=6.1363 alpha=90.00 beta=90.00 gamma=90.00
Space group I-42d (No. 122)
One atom of each set of equivalent atoms:
Mg  0.0000  0.0000  0.0000
Cd  0.0000  0.0000  0.5000
Sn  0.2396  0.2500  0.6250

Properties
The value obtained for the density of states at the Fermi level is 0.6010 states/eV/atom. Its calculated density is 5.86 Mg/m³.

=====

Most stable: *iii*

=====

*i*
Computed, not measured: a relaxed MgCdSn2 crystal at the PBE-GGA level of DFT.

Unit cell a=4.5368 b=4.5368 c=18.4446 alpha=90.00 beta=90.00 gamma=120.00
Space group R3m (No. 160, hexagonal axes)
One atom of each set of equivalent atoms:
Mg  0.0000  0.0000  0.0000
Cd  0.0000  0.0000  0.8294
Sn  0.0000  0.0000  0.4155
Sn  0.0000  0.0000  0.5789

Properties
The value obtained for the density of states at the Fermi level is 0.3746 states/eV/atom. Its calculated density is 5.67 Mg/m³.

=====

*ii*
Computed, not measured: a relaxed MgCdSn2 crystal at the PBE-GGA level of DFT.

Unit cell a=3.3440 b=3.3440 c=33.0889 alpha=90.00 beta=90.00 gamma=120.00
Space group R-3m (No. 166, hexagonal axes)
One atom of each set of equivalent atoms:
Mg  0.0000  0.0000  0.0000
Cd  0.0000  0.0000  0.5000
Sn  0.0000  0.0000  0.0900

Properties
The value obtained for the density of states at the Fermi level is 0.6583 states/eV/atom. Its calculated density is 5.82 Mg/m³.

=====

Most stable: *i*